# CdB5Pt8 (PBE, relaxed)
data_CdB5Pt8
_cell_length_a 8.8954
_cell_length_b 8.8954
_cell_length_c 6.5880
_cell_angle_alpha 106.69
_cell_angle_beta 106.69
_cell_angle_gamma 22.12
_symmetry_space_group_name_H-M 'P 1'
_symmetry_Int_Tables_number 1
loop_
_symmetry_equiv_pos_as_xyz
'x,y,z'
loop_
_atom_site_label
_atom_site_type_symbol
_atom_site_fract_x
_atom_site_fract_y
_atom_site_fract_z
_atom_site_occupancy
Cd1 Cd 0.0000 0.0000 0.0000 1
B1 B 0.1598 0.1598 0.4645 1
B2 B 0.1993 0.1993 0.8377 1
B3 B 0.5000 0.5000 0.5000 1
B4 B 0.8007 0.8007 0.1623 1
B5 B 0.8402 0.8402 0.5355 1
Pt1 Pt 0.0712 0.0712 0.6721 1
Pt2 Pt 0.2599 0.2599 0.3347 1
Pt3 Pt 0.3318 0.3318 0.9980 1
Pt4 Pt 0.4104 0.4104 0.6666 1
Pt5 Pt 0.5896 0.5896 0.3334 1
Pt6 Pt 0.6682 0.6682 0.0020 1
Pt7 Pt 0.7401 0.7401 0.6653 1
Pt8 Pt 0.9288 0.9288 0.3279 1
# - density (Mg/m³) = 15.277
# - Fermi-level density of states (states/eV/f.u.) = 3.17
# - E_form (meV per atom) = -167
# - calculated volume (Å³ per cell) = 187.7


# InBiPb3 (PBE, relaxed)
data_InBiPb3
_cell_length_a 5.6426
_cell_length_b 5.6603
_cell_length_c 11.5600
_cell_angle_alpha 101.10
_cell_angle_beta 92.95
_cell_angle_gamma 119.10
_symmetry_space_group_name_H-M 'P 1'
_symmetry_Int_Tables_number 1
loop_
_symmetry_equiv_pos_as_xyz
'x,y,z'
loop_
_atom_site_label
_atom_site_type_symbol
_atom_site_fract_x
_atom_site_fract_y
_atom_site_fract_z
_atom_site_occupancy
In1 In 0.0428 0.0944 0.1365 1
In2 In 0.9572 0.9056 0.8635 1
Bi1 Bi 0.4453 0.9029 0.3468 1
Bi2 Bi 0.5547 0.0971 0.6532 1
Pb1 Pb 0.1387 0.2858 0.4233 1
Pb2 Pb 0.2517 0.4810 0.7340 1
Pb3 Pb 0.3467 0.6932 0.0395 1
Pb4 Pb 0.6533 0.3068 0.9605 1
Pb5 Pb 0.7483 0.5190 0.2660 1
Pb6 Pb 0.8613 0.7142 0.5767 1
# - excess energy over the best structure of this formula in the dataset (meV/atom) = 5
# - density (Mg/m³) = 10.063
# - Fermi-level density of states (states/eV/f.u.) = 1.89
# - E_form (meV per atom) = 25
# - calculated volume (Å³ per cell) = 312.0